Entry from the Alexandria database: a geometry-optimized YTlP2O structure (GGA-PBE).

For the total energy, the calculation gives -23.9 eV/cell. For the formation energy (no corrections), the calculation gives 0.1381 eV per atom.

The space group is P4/mmm (No. 123) and the conventional cell measures 5.0737, 5.0737 and 4.2135 Å, with angles of 90.00, 90.00 and 90.00 degrees. The asymmetric unit holds Y at (0.0000, 0.0000, 0.0000), Tl at (0.5000, 0.5000, 0.5000), P at (0.0000, 0.5000, 0.5000) and O at (0.5000, 0.5000, 0.0000).


Entry from the Alexandria database: a geometry-optimized Y2TlPO structure (GGA-PBE).

For the total energy, the calculation gives -25.8 eV/cell. For the formation energy (no corrections), the calculation gives -0.0258 eV per atom.

The space group is P4/mmm (No. 123) and the conventional cell measures 5.2689, 5.2689 and 4.8901 Å, with angles of 90.00, 90.00 and 90.00 degrees. The asymmetric unit holds Y at (0.0000, 0.5000, 0.0000), Tl at (0.0000, 0.0000, 0.5000), P at (0.0000, 0.0000, 0.0000) and O at (0.5000, 0.5000, 0.5000).


The calculation returns the following spin magnetization values, one per record and in order: 0.00 0.00 Bohr magnetons per cell.
The calculation returns the following energy above the most stable polymorph in this dataset values, one per record and in order: 381 0 meV/atom.
The calculation returns the following DOS at the Fermi energy values, one per record and in order: 1.0326 0.6283 states/eV/atom.